The following is a DFT calculation (PBE) of an optimized crystal structure of TmGaO3.

Magnetization in μB/atom: 0.0001
Calculated volume in Å³ per atom: 10.8
Final energy in eV per atom: -7.2127

Cell lengths 5.5259, 7.5081, 5.2058 Å; angles 90.00, 90.00, 90.00 degrees
Last column: nearest neighbours and their distance in Å.
Space group Pnma (No. 62)
Asymmetric unit:
1 Tm 0.0714 0.2500 0.0206  6 O 2.18-2.45
2 Ga 0.0000 0.0000 0.5000  6 O 1.98-2.02
3 O 0.0435 0.7500 0.3810  2 Ga 1.99, 1 Tm 2.18
4 O 0.1932 0.5600 0.8090  2 Ga 1.98-2.02